The following is a PBE calculation of an optimized crystal structure of Zn2SiAu, from Alexandria via LeMat-Bulk.

Calculated values
Final energy in eV/cell: -21.73
Uncorrected formation energy in eV per formula unit: 0.38

a b c (Å): 3.987 3.987 7.996
angles (deg): 90.00 90.00 90.00
Space group I4/mmm (No. 139)
Asymmetric unit:
Zn 0.000 0.500 0.250
Si 0.000 0.000 0.000
Au 0.000 0.000 0.500